Compound: Tb2HoSc
Source: Alexandria via LeMat-Bulk
Functional: GGA-PBE
Structure: optimized geometry

Cell lengths 3.5146, 3.5146, 33.4893 Å; angles 90.00, 90.00, 120.00 degrees
With the nearest neighbours (Å) after each atom.
Space group R3m (No. 160, hexagonal axes)
Inequivalent atoms, fractional coordinates:
1 Tb 0.0000 0.0000 0.0000  3 Sc 3.39, 6 Tb 3.51, 3 Ho 3.52
2 Tb 0.0000 0.0000 0.1715  3 Sc 3.38, 3 Ho 3.51, 6 Tb 3.51
3 Ho 0.0000 0.0000 0.4192  6 Tb 3.51-3.52, 6 Ho 3.51
4 Sc 0.0000 0.0000 0.5856  6 Tb 3.38-3.39, 6 Sc 3.51

Calculated values
Total energy = -5.006 eV/atom